The following is a PBE-GGA calculation of Pa3Fe2 after structural relaxation, from OQMD.

Cell: 6.741 6.741 6.741 Å, 56.66 56.66 56.66°
Positions (direct):
1 Pa 0.152 0.750 0.348
2 Pa 0.250 0.652 0.848
3 Pa 0.348 0.152 0.750
4 Pa 0.652 0.848 0.250
5 Pa 0.750 0.348 0.152
6 Pa 0.848 0.250 0.652
7 Fe 0.174 0.174 0.174
8 Fe 0.326 0.326 0.326
9 Fe 0.674 0.674 0.674
10 Fe 0.826 0.826 0.826

SG = R-3c
E_form = -4.4 kJ per mole of atoms
E = -90.670 eV for the cell shown

***

The following is a PBE-GGA calculation of Sm2AlNi2 after structural relaxation, from OQMD.

Cell: 5.483 5.483 5.483 Å, 134.77 120.47 77.80°
Positions (direct):
1 Sm 0.202 0.202 0.000
2 Sm 0.798 0.798 0.000
3 Al 0.500 0.000 0.500
4 Ni 0.237 0.500 0.737
5 Ni 0.763 0.500 0.263

SG = Immm
E = -26.727 eV for the cell shown

***

The following is a PBE-GGA calculation of Ta3C after structural relaxation, from OQMD.

Cell: 4.631 8.694 3.035 Å, 90.00 90.00 90.00°
Positions (direct):
1 Ta 0.250 0.078 0.118
2 Ta 0.250 0.422 0.118
3 Ta 0.250 0.750 0.435
4 Ta 0.750 0.250 0.565
5 Ta 0.750 0.578 0.882
6 Ta 0.750 0.922 0.882
7 C 0.250 0.250 0.621
8 C 0.750 0.750 0.379

SG = Pmmn
E = -92.407 eV for the cell shown

***

The following is a PBE-GGA calculation of AlAgTeSe after structural relaxation, from OQMD.

Cell: 7.245 7.245 7.245 Å, 129.40 128.34 75.22°
Positions (direct):
1 Al 0.135 0.385 0.750
2 Al 0.365 0.115 0.250
3 Ag 0.635 0.885 0.750
4 Ag 0.865 0.615 0.250
5 Te 0.250 0.480 0.230
6 Te 0.750 0.020 0.270
7 Se 0.038 0.750 0.788
8 Se 0.462 0.250 0.712

SG = I2_12_12_1
excess energy over the best structure of this formula in the dataset = 3 meV/atom
E = -30.229 eV for the cell shown

***

The following is a PBE-GGA calculation of As2Au after structural relaxation, from OQMD.

Cell: 6.304 6.345 12.667 Å, 90.00 90.00 90.00°
Positions (direct):
1 As 0.112 0.086 0.179
2 As 0.112 0.414 0.679
3 As 0.120 0.683 0.928
4 As 0.120 0.817 0.428
5 As 0.380 0.183 0.928
6 As 0.380 0.317 0.428
7 As 0.388 0.586 0.179
8 As 0.388 0.914 0.679
9 As 0.612 0.086 0.321
10 As 0.612 0.414 0.821
11 As 0.620 0.683 0.572
12 As 0.620 0.817 0.072
13 As 0.880 0.183 0.572
14 As 0.880 0.317 0.072
15 As 0.888 0.586 0.321
16 As 0.888 0.914 0.821
17 Au 0.002 0.700 0.129
18 Au 0.002 0.800 0.629
19 Au 0.498 0.200 0.129
20 Au 0.498 0.300 0.629
21 Au 0.502 0.700 0.371
22 Au 0.502 0.800 0.871
23 Au 0.998 0.200 0.371
24 Au 0.998 0.300 0.871

SG = Pbca
E = -100.264 eV for the cell shown

***

The following is a PBE-GGA calculation of LiDySi after structural relaxation, from OQMD.

Cell: 4.671 4.671 4.671 Å, 60.00 60.00 60.00°
Positions (direct):
1 Li 0.000 0.000 0.000
2 Dy 0.250 0.250 0.250
3 Si 0.500 0.500 0.500

SG = F-43m
E = -11.705 eV for the cell shown

***

The following is a PBE-GGA calculation of DyY2Ga4Ir after structural relaxation, from OQMD.

Cell: 6.492 6.157 6.157 Å, 42.06 90.00 90.00°
Positions (direct):
1 Dy 0.000 0.000 0.000
2 Y 0.000 0.282 0.282
3 Y 0.500 0.146 0.146
4 Ga 0.212 0.603 0.603
5 Ga 0.315 0.830 0.830
6 Ga 0.685 0.830 0.830
7 Ga 0.788 0.603 0.603
8 Ir 0.500 0.425 0.425

SG = Amm2
E = -42.706 eV for the cell shown

***

The following is a PBE-GGA calculation of Nb3Al2 after structural relaxation, from OQMD.

Cell: 4.655 4.655 4.655 Å, 73.34 73.34 73.34°
Positions (direct):
1 Nb 0.000 0.500 0.500
2 Nb 0.500 0.000 0.500
3 Nb 0.500 0.500 0.000
4 Al 0.117 0.117 0.117
5 Al 0.883 0.883 0.883

SG = R-3m
E = -37.336 eV for the cell shown

***

The following is a PBE-GGA calculation of HfNiAsOs after structural relaxation, from OQMD.

Cell: 4.471 4.471 4.471 Å, 60.00 60.00 60.00°
Positions (direct):
1 Hf 0.000 0.000 0.000
2 Ni 0.500 0.500 0.500
3 As 0.250 0.250 0.250
4 Os 0.750 0.750 0.750

SG = F-43m
E = -30.872 eV for the cell shown

***

The following is a PBE-GGA calculation of Na2Zr2Ga2IrPt after structural relaxation, from OQMD.

Cell: 4.607 4.607 6.508 Å, 90.00 90.00 90.00°
Positions (direct):
1 Na 0.000 0.000 0.000
2 Na 0.500 0.500 0.500
3 Zr 0.000 0.500 0.747
4 Zr 0.500 0.000 0.253
5 Ga 0.000 0.500 0.257
6 Ga 0.500 0.000 0.743
7 Ir 0.000 0.000 0.500
8 Pt 0.500 0.500 0.000

SG = P-4m2
E = -43.816 eV for the cell shown

***

The following is a PBE-GGA calculation of USi after structural relaxation, from OQMD.

Cell: 7.860 3.777 5.541 Å, 90.00 90.00 90.00°
Positions (direct):
1 U 0.181 0.250 0.113
2 U 0.319 0.750 0.613
3 U 0.681 0.250 0.387
4 U 0.819 0.750 0.887
5 Si 0.036 0.250 0.628
6 Si 0.464 0.750 0.128
7 Si 0.536 0.250 0.872
8 Si 0.964 0.750 0.372

SG = Pnma
E = -68.253 eV for the cell shown

***

The following is a PBE-GGA calculation of ZnGePO after structural relaxation, from OQMD.

Cell: 3.937 5.783 5.662 Å, 90.00 90.00 90.00°
Positions (direct):
1 Zn 0.000 0.162 0.000
2 Zn 0.000 0.838 0.500
3 Ge 0.500 0.283 0.436
4 Ge 0.500 0.717 0.936
5 P 0.500 0.316 0.854
6 P 0.500 0.684 0.354
7 O 0.000 0.175 0.367
8 O 0.000 0.825 0.867

SG = Pmc2_1
excess energy over the best structure of this formula in the dataset = 0 meV/atom
E = -36.879 eV for the cell shown

***

Number 1: ρ 13.4 g/cm3. Number 2: ρ 7.5 g/cm3. Number 3: ρ 15.1 g/cm3. Number 4: ρ 5.1 g/cm3. Number 5: ρ 9.1 g/cm3. Number 6: ρ 4.6 g/cm3. Number 7: ρ 8.2 g/cm3. Number 8: ρ 6.1 g/cm3. Number 9: ρ 13.2 g/cm3. Number 10: ρ 9.1 g/cm3. Number 11: ρ 10.7 g/cm3. Number 12: ρ 4.8 g/cm3.